Record 1
# LaPtRh

LaPtRh after structural relaxation (PBE, Alexandria via LeMat-Bulk).

Computed properties:
E (eV per atom): -6.626

Cell lengths 3.7141, 3.7141, 5.1629 Å; angles 111.08, 111.08, 90.00 degrees
Fractional coordinates of all 3 atoms:
1 Rh 0.9421 0.9421 0.8843
2 Pt 0.2904 0.2904 0.5807
3 La 0.6175 0.6175 0.2350

Record 2
# La3Pt4Rh4

La3Pt4Rh4 after structural relaxation (PBE, Alexandria via LeMat-Bulk).

Computed properties:
E (eV per atom): -6.742

Cell lengths 6.7883, 6.7883, 6.7883 Å; angles 109.47, 109.47, 109.47 degrees
Fractional coordinates of all 11 atoms:
1 La 0.5000 0.5000 0.0000
2 La 0.5000 0.0000 0.5000
3 La 0.0000 0.5000 0.5000
4 Pt 0.0000 0.5939 0.0000
5 Pt 0.5939 0.0000 0.0000
6 Pt 0.0000 0.0000 0.5939
7 Pt 0.4061 0.4061 0.4061
8 Rh 0.0000 0.2341 0.0000
9 Rh 0.0000 0.0000 0.2341
10 Rh 0.2341 0.0000 0.0000
11 Rh 0.7659 0.7659 0.7659

Record 3
# La2PtRh2

La2PtRh2 after structural relaxation (PBE, Alexandria via LeMat-Bulk).

Computed properties:
E (eV per atom): -6.919

Cell lengths 7.4017, 7.4017, 3.9940 Å; angles 90.00, 90.00, 90.00 degrees
Fractional coordinates of all 10 atoms:
1 Rh 0.3674 0.8674 0.0000
2 Rh 0.8674 0.6326 0.0000
3 Rh 0.6326 0.1326 0.0000
4 Rh 0.1326 0.3674 0.0000
5 Pt 0.0000 0.0000 0.0000
6 Pt 0.5000 0.5000 0.0000
7 La 0.1806 0.6806 0.5000
8 La 0.6806 0.8194 0.5000
9 La 0.8194 0.3194 0.5000
10 La 0.3194 0.1806 0.5000

Record 4
# La2PtRh

La2PtRh after structural relaxation (PBE, Alexandria via LeMat-Bulk).

Computed properties:
E (eV per atom): -6.801

Cell lengths 4.4211, 4.0070, 5.9172 Å; angles 70.12, 90.00, 90.00 degrees
Fractional coordinates of all 4 atoms:
1 Rh 0.5000 0.5294 0.8154
2 Pt 0.0000 0.7136 0.4487
3 La 0.0000 0.9900 0.8940
4 La 0.5000 0.2669 0.3419

Record 5
# La2PtRh

La2PtRh after structural relaxation (PBE, Alexandria via LeMat-Bulk).

Computed properties:
E (eV per atom): -6.703

Cell lengths 3.6251, 3.6249, 7.2498 Å; angles 89.68, 90.00, 90.00 degrees
Fractional coordinates of all 4 atoms:
1 La 0.0000 0.0019 0.7446
2 La 0.0000 0.9981 0.2554
3 Pt 0.5000 0.5000 0.0000
4 Rh 0.5000 0.5000 0.5000

Record 6
# La8RuPt2Rh

La8RuPt2Rh after structural relaxation (PBE, Alexandria via LeMat-Bulk).

Computed properties:
E (eV per atom): -6.276

Cell lengths 6.8191, 6.8843, 8.5813 Å; angles 90.00, 90.00, 91.26 degrees
Fractional coordinates of all 12 atoms:
1 La 0.1570 0.7738 0.2458
2 La 0.6586 0.7488 0.0000
3 La 0.8430 0.2262 0.2458
4 La 0.8430 0.2262 0.7542
5 La 0.3414 0.2512 0.0000
6 La 0.1570 0.7738 0.7542
7 La 0.6548 0.7472 0.4999
8 La 0.3452 0.2528 0.5001
9 Ru 0.0000 0.0000 0.0000
10 Pt 0.5000 0.5001 0.7497
11 Pt 0.5000 0.4999 0.2503
12 Rh 0.0000 0.0000 0.5000

Record 7
# La6RuPtRh2

La6RuPtRh2 after structural relaxation (PBE, Alexandria via LeMat-Bulk).

Computed properties:
E (eV per atom): -6.595

Cell lengths 7.2219, 7.2204, 7.8353 Å; angles 62.55, 62.53, 59.89 degrees
Fractional coordinates of all 10 atoms:
1 La 0.5733 0.2598 0.2455
2 La 0.2582 0.9215 0.2461
3 La 0.9209 0.5748 0.2456
4 La 0.4104 0.7468 0.7567
5 La 0.7481 0.0850 0.7570
6 La 0.0866 0.4098 0.7563
7 Ru 0.3361 0.3358 0.9920
8 Pt 0.8348 0.8353 0.4944
9 Rh 0.4974 0.4970 0.5083
10 Rh 0.9958 0.9957 0.0133

Record 8
# La6RuPt2Rh

La6RuPt2Rh after structural relaxation (PBE, Alexandria via LeMat-Bulk).

Computed properties:
E (eV per atom): -6.533

Cell lengths 7.2576, 7.2578, 7.8916 Å; angles 62.60, 62.60, 59.98 degrees
Fractional coordinates of all 10 atoms:
1 La 0.5718 0.2507 0.2496
2 La 0.2505 0.9280 0.2495
3 La 0.9280 0.5716 0.2500
4 La 0.4230 0.7444 0.7550
5 La 0.7443 0.0774 0.7554
6 La 0.0775 0.4229 0.7557
7 Ru 0.3341 0.3345 0.9971
8 Pt 0.4986 0.4988 0.5037
9 Pt 0.9980 0.9977 0.0061
10 Rh 0.8357 0.8355 0.4931

no.,formation enthalpy at 0 K (meV/atom)
1,-520
2,-529
3,-799
4,-989
5,-891
6,-599
7,-636
8,-705